No. 1
This record from OQMD via LeMat-Bulk describes a relaxed CdTePbO crystal. The functional is GGA-PBE.

As for the polymorph energy (0 for the lowest one): 0.406 eV/atom. The value obtained for the total energy is -27.6 eV/cell. The symmetry is P4/nmm (129).

Geometry as POSCAR:
```
CdTePbO
1.0
-2.7507 -3.1914 0.6094
3.2482 -2.6831 0.6104
-0.1955 2.2857 11.0883
Te Cd Pb O
2 2 2 2
Direct
0.2500 0.7500 0.5000 Te
0.7500 0.2500 0.5000 Te
0.2500 0.2500 0.2823 Cd
0.7500 0.7500 0.7177 Cd
0.2500 0.2500 0.8900 Pb
0.7500 0.7500 0.1100 Pb
0.7500 0.7500 0.9158 O
0.2500 0.2500 0.0842 O
```

***

No. 2
This record from OQMD via LeMat-Bulk describes a relaxed Rb4AgAs2Pd crystal. The functional is GGA-PBE.

The value obtained for the total energy is -23.8 eV/cell. The symmetry is C2/m (12).

Geometry as POSCAR:
```
Rb4AgAs2Pd
1.0
-5.2138 4.0977 0.1940
-1.1231 -4.4087 4.8285
2.9660 3.5559 3.9087
Rb As Pd Ag
4 2 1 1
Direct
0.8195 0.4768 0.2479 Rb
0.1805 0.5232 0.7521 Rb
0.5232 0.1805 0.7521 Rb
0.4768 0.8195 0.2479 Rb
0.7506 0.7506 0.7584 As
0.2494 0.2494 0.2416 As
0.0000 0.0000 0.0000 Pd
0.0000 0.0000 0.5000 Ag
```

***

No. 3
This record from OQMD via LeMat-Bulk describes a relaxed BaGdZnSb2 crystal. The functional is GGA-PBE.

The value obtained for the total energy is -40.2 eV/cell. The symmetry is Cmc2_1 (36).

Geometry as POSCAR:
```
BaGdZnSb2
1.0
2.3589 -9.2470 0.0000
2.3589 9.2470 0.0000
0.0000 0.0000 7.1554
Zn Sb Ba Gd
2 4 2 2
Direct
0.9100 0.0900 0.3950 Zn
0.0900 0.9100 0.8950 Zn
0.3485 0.6515 0.5003 Sb
0.0648 0.9352 0.5067 Sb
0.6515 0.3485 0.0003 Sb
0.9352 0.0648 0.0067 Sb
0.2973 0.7027 0.0097 Ba
0.7027 0.2973 0.5097 Ba
0.5081 0.4919 0.2442 Gd
0.4919 0.5081 0.7442 Gd
```

***

No. 4
This record from OQMD via LeMat-Bulk describes a relaxed Pa2Pb2O5 crystal. The functional is GGA-PBE.

The value obtained for the total energy is -59.5 eV/cell. The symmetry is P4/mmm (123).

Geometry as POSCAR:
```
Pa2Pb2O5
1.0
4.1451 0.0000 0.0000
0.0000 4.1451 0.0000
0.0000 0.0000 8.3030
O Pa Pb
5 2 2
Direct
0.5000 0.0000 0.6864 O
0.5000 0.0000 0.3136 O
0.0000 0.5000 0.3136 O
0.5000 0.5000 0.5000 O
0.0000 0.5000 0.6864 O
0.0000 0.0000 0.0000 Pa
0.0000 0.0000 0.5000 Pa
0.5000 0.5000 0.2184 Pb
0.5000 0.5000 0.7816 Pb
```

***

No. 5
This record from OQMD via LeMat-Bulk describes a relaxed TbZn2 crystal. The functional is GGA-PBE.

The value obtained for the calculated formation energy is -0.239 eV/atom. The value obtained for the total energy is -63.0 eV/cell. The symmetry is P2_1/m (11).

Geometry as POSCAR:
```
TbZn2
1.0
6.0839 11.6915 0.0000
-5.8541 5.7484 0.0000
0.0000 0.0000 4.6406
Zn Tb
16 8
Direct
0.9613 0.7254 0.5000 Zn
0.6111 0.5843 0.5000 Zn
0.0400 0.1562 0.5000 Zn
0.1545 0.2049 0.0000 Zn
0.3362 0.9067 0.0000 Zn
0.1494 0.8037 0.5000 Zn
0.2331 0.6357 0.0000 Zn
0.5637 0.2921 0.5000 Zn
0.7044 0.8142 0.5000 Zn
0.2521 0.0436 0.5000 Zn
0.6308 0.0689 0.0000 Zn
0.0450 0.5574 0.0000 Zn
0.8582 0.4543 0.5000 Zn
0.9422 0.3172 0.0000 Zn
0.4901 0.5471 0.0000 Zn
0.5834 0.7770 0.0000 Zn
0.1664 0.4305 0.5000 Tb
0.7101 0.3735 0.0000 Tb
0.8241 0.7227 0.0000 Tb
0.3780 0.2801 0.0000 Tb
0.3703 0.6383 0.5000 Tb
0.4843 0.9876 0.5000 Tb
0.8165 0.0811 0.5000 Tb
0.0281 0.9305 0.0000 Tb
```

***

No. 6
This record from OQMD via LeMat-Bulk describes a relaxed BaFe2AsP crystal. The functional is GGA-PBE.

As for the polymorph energy (0 for the lowest one): 0.248 eV/atom. The value obtained for the total energy is -30.8 eV/cell. The symmetry is P3m1 (156).

Geometry as POSCAR:
```
BaFe2AsP
1.0
3.9196 0.0000 0.0000
-1.9598 3.3945 0.0000
0.0000 0.0000 7.6083
P As Fe Ba
1 1 2 1
Direct
0.6667 0.3333 0.3094 P
0.0000 0.0000 0.6959 As
0.0000 0.0000 0.3894 Fe
0.6667 0.3333 0.5938 Fe
0.3333 0.6667 0.0115 Ba
```

***

No. 7
This record from OQMD via LeMat-Bulk describes a relaxed Tm crystal. The functional is GGA-PBE.

As for the polymorph energy (0 for the lowest one): 0.209 eV/atom. The value obtained for the calculated formation energy is 0.209 eV/atom. The value obtained for the total energy is -17.1 eV/cell. The symmetry is Cmce (64).

Geometry as POSCAR:
```
Tm
1.0
3.0817 1.5711 -5.7237
2.4078 -2.6343 5.6559
-0.6572 -3.3130 -1.2632
Tm
4
Direct
0.8619 0.1381 0.0009 Tm
0.1381 0.8619 0.9991 Tm
0.6381 0.3619 0.5009 Tm
0.3619 0.6381 0.4991 Tm
```

***

No. 8
This record from OQMD via LeMat-Bulk describes a relaxed ScPd2 crystal. The functional is GGA-PBE.

The value obtained for the calculated formation energy is -0.499 eV/atom. The value obtained for the total energy is -18.2 eV/cell. The symmetry is Fm-3m (225).

Geometry as POSCAR:
```
ScPd2
1.0
-3.1486 0.0540 2.9743
-3.7163 2.0697 -0.8175
-3.6377 -2.2582 -0.6558
Pd Sc
2 1
Direct
0.2500 0.2500 0.2500 Pd
0.7500 0.7500 0.7500 Pd
0.0000 0.0000 0.0000 Sc
```

***

No. 9
This record from OQMD via LeMat-Bulk describes a relaxed GaCo crystal. The functional is GGA-PBE.

The value obtained for the total energy is -10.7 eV/cell. The symmetry is Pm-3m (221).

Geometry as POSCAR:
```
GaCo
1.0
-2.6272 -0.2776 1.1545
1.1284 -1.4564 2.2176
0.3697 2.4727 1.4358
Co Ga
1 1
Direct
0.0000 0.0000 0.0000 Co
0.5000 0.5000 0.5000 Ga
```

***

No. 10
This record from OQMD via LeMat-Bulk describes a relaxed PmAgSeO crystal. The functional is GGA-PBE.

As for the polymorph energy (0 for the lowest one): 0.096 eV/atom. The value obtained for the total energy is -93.4 eV/cell. The symmetry is P2_1 (4).

Geometry as POSCAR:
```
PmAgSeO
1.0
5.8475 0.0000 -0.0156
0.0000 5.8499 0.0000
-0.4560 0.0000 11.3880
O Se Ag Pm
4 4 4 4
Direct
0.7522 0.5679 0.9994 O
0.7499 0.0684 0.0002 O
0.2501 0.5684 0.9998 O
0.2478 0.0679 0.0006 O
0.7021 0.5452 0.7112 Se
0.6976 0.6411 0.2811 Se
0.3024 0.1411 0.7189 Se
0.2979 0.0452 0.2888 Se
0.6911 0.5964 0.4962 Ag
0.9983 0.3421 0.2936 Ag
0.3089 0.0964 0.5038 Ag
0.0017 0.8421 0.7064 Ag
0.9924 0.3198 0.9029 Pm
0.4937 0.8190 0.9035 Pm
0.0075 0.8198 0.0971 Pm
0.5063 0.3190 0.0965 Pm
```

***

No. 11
This record from OQMD via LeMat-Bulk describes a relaxed Ho3In3Ag2Pd crystal. The functional is GGA-PBE.

The value obtained for the total energy is -37.7 eV/cell. The symmetry is P-62m (189).

Geometry as POSCAR:
```
Ho3In3Ag2Pd
1.0
-0.3691 7.6027 1.5845
-2.7859 -5.1721 5.0928
3.5026 -0.1892 1.7238
Ag In Ho Pd
2 3 3 1
Direct
0.6667 0.3333 0.5000 Ag
0.3333 0.6667 0.5000 Ag
0.2581 0.0000 0.5000 In
0.0000 0.2581 0.5000 In
0.7419 0.7419 0.5000 In
0.5989 0.0000 0.0000 Ho
0.4011 0.4011 0.0000 Ho
0.0000 0.5989 0.0000 Ho
0.0000 0.0000 0.0000 Pd
```

***

No. 12
This record from OQMD via LeMat-Bulk describes a relaxed Tl2Zn2O5 crystal. The functional is GGA-PBE.

The value obtained for the total energy is -38.5 eV/cell. The symmetry is P4/mmm (123).

Geometry as POSCAR:
```
Tl2Zn2O5
1.0
7.9223 0.0000 0.0000
0.0000 3.8151 0.0000
0.0000 0.0000 3.8151
O Tl Zn
5 2 2
Direct
0.8192 0.5000 0.0000 O
0.1808 0.0000 0.5000 O
0.8192 0.0000 0.5000 O
0.1808 0.5000 0.0000 O
0.5000 0.5000 0.5000 O
0.5000 0.0000 0.0000 Tl
0.0000 0.0000 0.0000 Tl
0.2449 0.5000 0.5000 Zn
0.7551 0.5000 0.5000 Zn
```

***

No. 13
This record from OQMD via LeMat-Bulk describes a relaxed AgB4Pd crystal. The functional is GGA-PBE.

As for the polymorph energy (0 for the lowest one): 0.000 eV/atom. The value obtained for the total energy is -32.3 eV/cell. The symmetry is P6/mmm (191).

Geometry as POSCAR:
```
AgB4Pd
1.0
3.0163 0.0000 0.0000
-1.5081 2.6122 0.0000
0.0000 0.0000 7.7962
B Ag Pd
4 1 1
Direct
0.6667 0.3333 0.2714 B
0.3333 0.6667 0.2714 B
0.6667 0.3333 0.7286 B
0.3333 0.6667 0.7286 B
0.0000 0.0000 0.0000 Ag
0.0000 0.0000 0.5000 Pd
```

***

No. 14
This record from OQMD via LeMat-Bulk describes a relaxed HoTePO crystal. The functional is GGA-PBE.

As for the polymorph energy (0 for the lowest one): 0.000 eV/atom. The value obtained for the total energy is -46.5 eV/cell. The symmetry is Pmc2_1 (26).

Geometry as POSCAR:
```
HoTePO
1.0
-2.1797 4.5711 1.2613
-2.2741 -2.8241 6.3049
5.1330 1.7237 2.6235
Te P O Ho
2 2 2 2
Direct
0.5000 0.1761 0.5536 Te
0.5000 0.8239 0.0536 Te
0.5000 0.1685 0.9750 P
0.5000 0.8315 0.4750 P
0.0000 0.5449 0.7604 O
0.0000 0.4551 0.2604 O
0.0000 0.6748 0.4651 Ho
0.0000 0.3252 0.9651 Ho
```

***

No. 15
This record from OQMD via LeMat-Bulk describes a relaxed YPuAu crystal. The functional is GGA-PBE.

As for the polymorph energy (0 for the lowest one): 0.000 eV/atom. The value obtained for the calculated formation energy is 0.136 eV/atom. The value obtained for the total energy is -23.5 eV/cell. The symmetry is F-43m (216).

Geometry as POSCAR:
```
YPuAu
1.0
0.0000 3.4490 3.4490
3.4490 0.0000 3.4490
3.4490 3.4490 0.0000
Y Pu Au
1 1 1
Direct
0.0000 0.0000 0.0000 Y
0.2500 0.2500 0.2500 Pu
0.5000 0.5000 0.5000 Au
```

***

No. 16
This record from OQMD via LeMat-Bulk describes a relaxed LuMgTlPd crystal. The functional is GGA-PBE.

As for the polymorph energy (0 for the lowest one): 0.000 eV/atom. The value obtained for the total energy is -15.5 eV/cell. The symmetry is F-43m (216).

Geometry as POSCAR:
```
LuMgTlPd
1.0
1.2469 0.4083 4.7385
-2.2280 3.3296 2.8503
-3.1292 -1.4600 3.5001
Lu Pd Mg Tl
1 1 1 1
Direct
0.2500 0.2500 0.2500 Lu
0.0000 0.0000 0.0000 Pd
0.7500 0.7500 0.7500 Mg
0.5000 0.5000 0.5000 Tl
```

***

No. 17
This record from OQMD via LeMat-Bulk describes a relaxed BW crystal. The functional is GGA-PBE.

As for the polymorph energy (0 for the lowest one): 0.226 eV/atom. The value obtained for the total energy is -19.9 eV/cell. The symmetry is Fm-3m (225).

Geometry as POSCAR:
```
BW
1.0
0.0000 2.2376 2.2376
2.2376 0.0000 2.2376
2.2376 2.2376 0.0000
W B
1 1
Direct
0.5000 0.5000 0.5000 W
0.0000 0.0000 0.0000 B
```

***

No. 18
This record from OQMD via LeMat-Bulk describes a relaxed Sc4CdInN2 crystal. The functional is GGA-PBE.

The value obtained for the total energy is -54.5 eV/cell. The symmetry is P-6m2 (187).

Geometry as POSCAR:
```
Sc4CdInN2
1.0
-1.0495 -2.7930 1.2822
-0.2413 0.5105 -3.1981
13.5534 -6.0020 -1.9809
Sc Cd In N
4 1 1 2
Direct
0.0000 0.0000 0.6694 Sc
0.6667 0.3333 0.8314 Sc
0.6667 0.3333 0.1686 Sc
0.0000 0.0000 0.3306 Sc
0.0000 0.0000 0.0000 Cd
0.6667 0.3333 0.5000 In
0.3333 0.6667 0.7492 N
0.3333 0.6667 0.2508 N
```

***

No. 19
This record from OQMD via LeMat-Bulk describes a relaxed CdAg2Sb crystal. The functional is GGA-PBE.

The value obtained for the total energy is -10.1 eV/cell. The symmetry is F-43m (216).

Geometry as POSCAR:
```
CdAg2Sb
1.0
-3.3662 2.1398 2.9418
-2.2991 4.1387 -1.4661
-4.8012 -0.1326 -1.2225
Sb Cd Ag
1 1 2
Direct
0.5000 0.5000 0.5000 Sb
0.2500 0.2500 0.2500 Cd
0.0000 0.0000 0.0000 Ag
0.7500 0.7500 0.7500 Ag
```

***

No. 20
This record from OQMD via LeMat-Bulk describes a relaxed YNbCuB crystal. The functional is GGA-PBE.

As for the polymorph energy (0 for the lowest one): 0.000 eV/atom. The value obtained for the total energy is -23.0 eV/cell. The symmetry is F-43m (216).

Geometry as POSCAR:
```
YNbCuB
1.0
0.0000 3.1817 3.1817
3.1817 0.0000 3.1817
3.1817 3.1817 0.0000
Nb B Y Cu
1 1 1 1
Direct
0.2500 0.2500 0.2500 Nb
0.0000 0.0000 0.0000 B
0.5000 0.5000 0.5000 Y
0.7500 0.7500 0.7500 Cu
```